Computed, not measured: crystalline Ho2B6Rh9 at its relaxed geometry at the GGA-PBE level of DFT. Values from VASP.

Quantum ESPRESSO input file:
```
&SYSTEM
  ibrav = 0, nat = 17, ntyp = 3
/
ATOMIC_SPECIES
Ho 164.93 Ho.upf
B 10.81 B.upf
Rh 102.91 Rh.upf
ATOMIC_POSITIONS crystal
Ho 0.000 0.000 0.706
Ho 0.000 0.000 0.294
B 0.667 0.333 0.000
B 0.333 0.667 0.000
B 0.667 0.333 0.667
B 0.333 0.667 0.667
B 0.333 0.667 0.333
B 0.667 0.333 0.333
Rh 0.500 0.500 0.836
Rh 0.500 0.000 0.836
Rh 0.000 0.500 0.836
Rh 0.500 0.500 0.164
Rh 0.500 0.000 0.164
Rh 0.000 0.500 0.164
Rh 0.500 0.500 0.500
Rh 0.500 0.000 0.500
Rh 0.000 0.500 0.500
CELL_PARAMETERS angstrom
5.600 0.000 0.000
-2.800 4.850 0.000
0.000 0.000 8.575
```

Values from the calculation:
E in eV/atom: -7.427
Calculated volume in Å³ per cell: 232.9
Formation energy from the elements in eV per atom: -0.640